Ca2IO | Alexandria | meta-GGA SCAN | single point on PBEsol structure; total magnetic moment = 1.5 μB/cell; DFT total energy = -70.22 eV/f.u.
1.0
-5.704 2.190 1.934
0.011 -5.081 -4.830
-1.603 -5.892 1.944
Ca O I
4 2 2
Direct
0.248 0.750 0.875
0.875 0.250 0.502
0.375 0.250 0.248
0.502 0.750 0.375
0.250 0.500 0.250
0.500 0.000 0.500
0.000 0.000 0.000
0.750 0.500 0.750